(1)
Here is an optimized crystal structure of Al2TlMo from the Alexandria database. Energies are from PBE.

## Properties
**Magnetic moment**: 0.00 μB/atom
**Formation enthalpy at 0 K**: 276.3 meV/atom

Unit cell a=5.2190 b=5.2190 c=4.9728 alpha=83.40 beta=83.40 gamma=32.36
Closest atoms and distances in Å follow each position.
Sites, in units of the cell vectors:
Al 0.7610 0.7610 0.7293  3 Mo 2.81-2.99, 4 Tl 2.83-2.94, 5 Al 2.91-3.10
Mo 0.4919 0.4919 0.5276  7 Al 2.77-3.00, 2 Mo 2.91, 3 Tl 3.01-3.08
Tl 0.2416 0.2416 0.2466  5 Al 2.80-2.94, 2 Tl 2.91, 3 Mo 3.01-3.08
Al 0.0056 0.0056 0.9965  4 Mo 2.77-3.00, 1 Tl 2.80, 3 Al 2.91-2.92

(2)
Here is an optimized crystal structure of Al2TlMo from the Alexandria database. Energies are from PBE.

## Properties
**Magnetic moment**: 0.00 μB/atom
**Formation enthalpy at 0 K**: 326.4 meV/atom

Unit cell a=2.9038 b=2.9038 c=8.8633 alpha=90.00 beta=90.00 gamma=90.00
Closest atoms and distances in Å follow each position.
Sites, in units of the cell vectors:
Al 0.5000 0.5000 0.2604  4 Mo 2.76, 8 Al 2.87-2.90
Al 0.0000 0.0000 0.0345  8 Al 2.87-2.90
Mo 0.0000 0.0000 0.4685  4 Al 2.76, 4 Mo 2.90
Tl 0.5000 0.5000 0.7366  4 Tl 2.90, 4 Mo 3.14

Results for distance to the lowest polymorph of the same formula: 159; 209 (in meV per atom, following the order of the records).
Results for ρ: 8.17; 7.87 (in g/cm³, following the order of the records).